# 1
This record from the Alexandria database describes Ca4BeCl after structural relaxation. The functional is PBE.

POSCAR file:
```
Ca4BeCl
1.0
-3.852 1.016 5.543
0.640 5.770 3.590
-4.984 4.662 -0.116
Ca Cl Be
4 1 1
Cartesian
-3.065 4.281 3.372
-5.579 6.632 3.313
-2.742 7.191 5.182
-5.008 4.793 6.167
-6.147 8.586 6.763
0.000 0.000 0.000
```

Values from the calculation:
raw formation energy	271	kJ/mol of formula units
DOS at the Fermi energy	8.99	states/eV per cell
mass density	1.51	Mg/m³
space-group type	F-43m
magnetic moment	0.001	μB per formula unit

# 2
This record from the Alexandria database describes Sc2InAs2 after structural relaxation. The functional is PBE.

POSCAR file:
```
Sc2InAs2
1.0
7.648 0.000 0.000
0.000 7.648 0.000
0.000 0.000 3.597
As In Sc
4 2 4
Cartesian
1.217 5.041 1.798
5.041 6.431 1.798
6.431 2.607 1.798
2.607 1.217 1.798
3.824 3.824 0.000
0.000 0.000 0.000
4.926 1.102 0.000
6.546 4.926 0.000
1.102 2.722 0.000
2.722 6.546 0.000
```

Values from the calculation:
formation energy from the elements	-69.57	kJ per mole of atoms
energy relative to the lowest polymorph listed for this composition	92	meV/atom
DOS at the Fermi energy	7.99	states/eV per cell
mass density	5.60	Mg/m³
space-group type	P4/mbm
magnetic moment	0.000	μB per formula unit

# 3
This record from the Alexandria database describes Tb6PrTm3Sc2 after structural relaxation. The functional is PBE.

POSCAR file:
```
Tb6PrTm3Sc2
1.0
-3.544 4.862 -0.817
-1.082 -3.801 4.609
8.444 5.812 5.447
Tb Sc Tm Pr
6 2 3 1
Cartesian
5.174 4.635 5.052
1.349 0.255 3.221
0.521 3.169 1.396
2.469 6.617 6.018
3.297 3.704 7.843
-1.356 2.237 4.187
-1.903 -0.913 2.800
-2.723 1.974 0.992
1.909 3.436 4.619
1.090 6.319 2.814
2.728 0.553 6.425
0.000 0.000 0.000
```

Values from the calculation:
formation energy from the elements	3.63	kJ per mole of atoms
DOS at the Fermi energy	16.32	states/eV per cell
mass density	7.69	Mg/m³
space-group type	C2/m
magnetic moment	0.000	μB per formula unit